Material: K2MnPbBr6
Method: DFT, PBE
State: relaxed

## Properties
Uncorrected formation energy (eV per atom): -1.198
Magnetization (μB/f.u.): 5.000

Structure (CIF):
```
data_K2MnPbBr6
_cell_length_a 7.808
_cell_length_b 7.809
_cell_length_c 7.812
_cell_angle_alpha 61.08
_cell_angle_beta 61.09
_cell_angle_gamma 61.09
_symmetry_space_group_name_H-M 'P -1'
_symmetry_Int_Tables_number 2
loop_
_symmetry_equiv_pos_as_xyz
'x,y,z'
'-x,-y,-z'
loop_
_atom_site_label
_atom_site_type_symbol
_atom_site_fract_x
_atom_site_fract_y
_atom_site_fract_z
_atom_site_occupancy
K1 K 0.224 0.225 0.224 1
Mn1 Mn 0.000 0.000 0.000 1
Pb1 Pb 0.500 0.500 0.500 1
Br1 Br 0.145 0.775 0.323 1
Br2 Br 0.225 0.677 0.855 1
Br3 Br 0.323 0.145 0.776 1
```